No. 1
AgHgI: relaxed, PBE.

```
data_AgHgI
_cell_length_a 4.892
_cell_length_b 5.961
_cell_length_c 8.471
_cell_angle_alpha 90.00
_cell_angle_beta 90.00
_cell_angle_gamma 90.00
_symmetry_space_group_name_H-M 'P m n 21'
_symmetry_Int_Tables_number 31
loop_
_symmetry_equiv_pos_as_xyz
'x,y,z'
'-x+1/2,-y,z+1/2'
'-x,y,z'
'x+1/2,-y,z+1/2'
loop_
_atom_site_label
_atom_site_fract_x
_atom_site_fract_y
_atom_site_fract_z
Ag1 0.000 0.003 0.000
Hg1 0.000 0.503 0.001
I1 0.000 0.001 0.333
```

**E above lowest polymorph**: 0.02 eV/f.u.
**E_form (uncorrected)**: -0.133 eV/atom
**Density**: 5.9 g/cm³

---

No. 2
TiZnAg: relaxed, PBE.

```
data_TiZnAg
_cell_length_a 2.8479
_cell_length_b 2.8479
_cell_length_c 7.0690
_cell_angle_alpha 90.00
_cell_angle_beta 90.00
_cell_angle_gamma 120.00
_symmetry_space_group_name_H-M 'P 3 m 1'
_symmetry_Int_Tables_number 156
loop_
_symmetry_equiv_pos_as_xyz
'x,y,z'
'-y,x-y,z'
'-x+y,-x,z'
'-y,-x,z'
'-x+y,y,z'
'x,x-y,z'
loop_
_atom_site_label
_atom_site_fract_x
_atom_site_fract_y
_atom_site_fract_z
Ti1 0.0000 0.0000 0.0000
Zn1 0.6667 0.3333 0.3259
Ag1 0.3333 0.6667 0.6543
```

**Energy of formation**: 41 meV per atom
**E above lowest polymorph**: 0.39 eV/f.u.
**Density**: 7.4 g/cm³

---

No. 3
Er4Bi2AsSe: relaxed, PBE.

```
data_Er4Bi2AsSe
_cell_length_a 7.335
_cell_length_b 4.238
_cell_length_c 7.411
_cell_angle_alpha 90.00
_cell_angle_beta 109.21
_cell_angle_gamma 90.00
_symmetry_space_group_name_H-M 'P 1 2/m 1'
_symmetry_Int_Tables_number 10
loop_
_symmetry_equiv_pos_as_xyz
'x,y,z'
'-x,-y,-z'
'-x,y,-z'
'x,-y,z'
loop_
_atom_site_label
_atom_site_fract_x
_atom_site_fract_y
_atom_site_fract_z
Er1 0.238 0.000 0.227
Er2 0.251 0.500 0.770
Bi1 0.000 0.000 0.500
Bi2 0.500 0.500 0.500
As1 0.000 0.500 0.000
Se1 0.500 0.000 0.000
```

**E_form (uncorrected)**: -1.205 eV/atom
**Density**: 9.5 g/cm³

---

No. 4
As2S3N2: relaxed, PBE.

```
data_As2S3N2
_cell_length_a 4.841
_cell_length_b 5.802
_cell_length_c 6.837
_cell_angle_alpha 103.32
_cell_angle_beta 93.71
_cell_angle_gamma 99.28
_symmetry_space_group_name_H-M 'P -1'
_symmetry_Int_Tables_number 2
loop_
_symmetry_equiv_pos_as_xyz
'x,y,z'
'-x,-y,-z'
loop_
_atom_site_label
_atom_site_fract_x
_atom_site_fract_y
_atom_site_fract_z
As1 0.034 0.229 0.402
S1 0.200 0.599 0.339
S2 0.500 0.000 0.000
N1 0.270 0.882 0.814
```

**E_form (uncorrected)**: 0.581 eV/atom
**Density**: 2.5 g/cm³

---

No. 5
BaGaO2F: relaxed, PBE.

```
data_BaGaO2F
_cell_length_a 4.563
_cell_length_b 4.563
_cell_length_c 5.125
_cell_angle_alpha 90.00
_cell_angle_beta 90.00
_cell_angle_gamma 90.00
_symmetry_space_group_name_H-M 'P 4/m m m'
_symmetry_Int_Tables_number 123
_symmetry_space_group_name_Hall '-P 4 2'
loop_
_atom_site_label
_atom_site_fract_x
_atom_site_fract_y
_atom_site_fract_z
Ba1 0.000 0.000 0.000
Ga1 0.500 0.500 0.500
O1 0.000 0.500 0.000
F1 0.000 0.000 0.500
```

**E_form (uncorrected)**: -1.001 eV/atom
**Density**: 4.0 g/cm³

---

No. 6
CaLa2Eu: relaxed, PBE.

```
data_CaLa2Eu
_cell_length_a 5.289
_cell_length_b 5.289
_cell_length_c 5.595
_cell_angle_alpha 90.00
_cell_angle_beta 90.00
_cell_angle_gamma 90.00
_symmetry_space_group_name_H-M 'P 4/m m m'
_symmetry_Int_Tables_number 123
_symmetry_space_group_name_Hall '-P 4 2'
loop_
_atom_site_label
_atom_site_fract_x
_atom_site_fract_y
_atom_site_fract_z
Ca1 0.000 0.000 0.000
La1 0.000 0.500 0.500
Eu1 0.500 0.500 0.000
```

**Energy of formation**: 107 meV per atom
**E above lowest polymorph**: 0.19 eV/f.u.
**Density**: 5.0 g/cm³

---

No. 7
BaTc2Mo: relaxed, PBE.

```
data_BaTc2Mo
_cell_length_a 3.048
_cell_length_b 5.444
_cell_length_c 9.961
_cell_angle_alpha 90.00
_cell_angle_beta 90.00
_cell_angle_gamma 90.00
_symmetry_space_group_name_H-M 'I m m 2'
_symmetry_Int_Tables_number 44
loop_
_symmetry_equiv_pos_as_xyz
'x,y,z'
'-x,-y,z'
'-x,y,z'
'x,-y,z'
'x+1/2,y+1/2,z+1/2'
'-x+1/2,-y+1/2,z+1/2'
'-x+1/2,y+1/2,z+1/2'
'x+1/2,-y+1/2,z+1/2'
loop_
_atom_site_label
_atom_site_fract_x
_atom_site_fract_y
_atom_site_fract_z
Ba1 0.000 0.000 0.000
Tc1 0.000 0.000 0.500
Tc2 0.000 0.500 0.208
Mo1 0.000 0.500 0.796
```

**Energy of formation**: 1098 meV per atom
**E above lowest polymorph**: 1.93 eV/f.u.
**Density**: 8.6 g/cm³